No. 1
This record from the Alexandria database describes an optimized crystal structure of Na2YOs2. The functional is PBE.

Results
Its theoretical density is 8.419 g/cm³. The polymorph energy (0 for the lowest one) is 100 kJ/mol of formula units. The total magnetic moment is 0.000 μB/atom. As for the energy relative to the elements: 981 meV per atom.

Lattice parameters (Å, degrees): 8.672 8.672 2.703 90.00 90.00 90.00
Sites, in units of the cell vectors:
Os 0.598 0.098 0.000
Os 0.098 0.402 0.000
Os 0.402 0.902 0.000
Os 0.902 0.598 0.000
Y 0.000 0.000 0.000
Y 0.500 0.500 0.000
Na 0.690 0.810 0.500
Na 0.190 0.690 0.500
Na 0.810 0.310 0.500
Na 0.310 0.190 0.500

---

No. 2
This record from the Alexandria database describes an optimized crystal structure of CuRh2W. The functional is PBE.

Results
Its theoretical density is 13.004 g/cm³. The polymorph energy (0 for the lowest one) is 107 kJ/mol of formula units. The total magnetic moment is 0.000 μB/atom. As for the energy relative to the elements: 129 meV per atom.

Lattice parameters (Å, degrees): 3.264 3.264 5.432 90.00 90.00 90.00
Sites, in units of the cell vectors:
Rh 0.000 0.000 0.967
Rh 0.500 0.500 0.270
W 0.000 0.000 0.506
Cu 0.500 0.500 0.757

---

No. 3
This record from the Alexandria database describes an optimized crystal structure of TmMg8Zn2. The functional is PBE.

Results
Its theoretical density is 3.212 g/cm³. The total magnetic moment is 0.000 μB/atom. As for the energy relative to the elements: 45 meV per atom.

Lattice parameters (Å, degrees): 5.153 7.503 7.503 112.95 80.73 80.73
Sites, in units of the cell vectors:
Mg 0.091 0.679 0.923
Mg 0.693 0.603 0.603
Mg 0.909 0.077 0.321
Mg 0.500 0.745 0.255
Mg 0.909 0.321 0.077
Mg 0.307 0.397 0.397
Mg 0.091 0.923 0.679
Mg 0.500 0.255 0.745
Tm 0.500 0.000 0.000
Zn 0.000 0.688 0.312
Zn 0.000 0.312 0.688

---

No. 4
This record from the Alexandria database describes an optimized crystal structure of YAlW. The functional is PBE.

Results
Its theoretical density is 7.424 g/cm³. The polymorph energy (0 for the lowest one) is 145 kJ/mol of formula units. The total magnetic moment is 0.000 μB/atom. As for the energy relative to the elements: 679 meV per atom.

Lattice parameters (Å, degrees): 4.560 4.560 4.560 60.00 60.00 60.00
Sites, in units of the cell vectors:
Al 0.250 0.250 0.250
W 0.000 0.000 0.000
Y 0.500 0.500 0.500

---

No. 5
This record from the Alexandria database describes an optimized crystal structure of ZrMn3Ir. The functional is PBE.

Results
Its theoretical density is 8.922 g/cm³. The polymorph energy (0 for the lowest one) is 471 kJ/mol of formula units. The total magnetic moment is 0.001 μB/atom. As for the energy relative to the elements: 2108 meV per atom.

Lattice parameters (Å, degrees): 4.369 4.369 4.369 90.00 90.00 90.00
Sites, in units of the cell vectors:
Zr 0.000 0.000 0.000
Mn 0.000 0.500 0.000
Mn 0.000 0.000 0.500
Mn 0.500 0.000 0.000
Ir 0.500 0.500 0.500

---

No. 6
This record from the Alexandria database describes an optimized crystal structure of Li2ZrSe. The functional is PBE.

Results
Its theoretical density is 4.014 g/cm³. As for the raw formation energy: -1.70 eV per formula unit. The total magnetic moment is 0.000 μB/atom.

Lattice parameters (Å, degrees): 5.911 5.911 5.911 148.09 135.39 55.89
Sites, in units of the cell vectors:
Zr 0.250 0.750 0.500
Li 0.963 0.963 0.000
Li 0.537 0.537 0.000
Se 0.750 0.250 0.500

---

No. 7
This record from the Alexandria database describes an optimized crystal structure of TiGa2Pd4. The functional is PBE.

Results
Its theoretical density is 9.227 g/cm³. The polymorph energy (0 for the lowest one) is 0 kJ/mol of formula units. The total magnetic moment is 0.000 μB/atom. As for the energy relative to the elements: -551 meV per atom.

Lattice parameters (Å, degrees): 5.267 6.664 6.774 96.79 99.88 106.83
Sites, in units of the cell vectors:
Ga 0.609 0.243 0.042
Ga 0.815 0.870 0.387
Ga 0.490 0.354 0.533
Ga 0.112 0.437 0.837
Ti 0.017 0.037 0.040
Ti 0.290 0.709 0.541
Pd 0.388 0.997 0.314
Pd 0.468 0.811 0.946
Pd 0.720 0.087 0.705
Pd 0.947 0.304 0.395
Pd 0.841 0.691 0.712
Pd 0.221 0.078 0.712
Pd 0.938 0.635 0.131
Pd 0.395 0.498 0.205

---

No. 8
This record from the Alexandria database describes an optimized crystal structure of TbNdZnIn. The functional is PBE.

Results
Its theoretical density is 7.604 g/cm³. The polymorph energy (0 for the lowest one) is 9 kJ/mol of formula units. The total magnetic moment is 0.000 μB/atom. As for the energy relative to the elements: -389 meV per atom.

Lattice parameters (Å, degrees): 5.305 5.305 5.305 60.00 60.00 60.00
Sites, in units of the cell vectors:
Nd 0.250 0.250 0.250
In 0.000 0.000 0.000
Zn 0.500 0.500 0.500
Tb 0.750 0.750 0.750

---

No. 9
This record from the Alexandria database describes an optimized crystal structure of PmHo2Si. The functional is PBE.

Results
Its theoretical density is 7.473 g/cm³. As for the raw formation energy: -1.53 eV per formula unit. The polymorph energy (0 for the lowest one) is 0 kJ/mol of formula units. The total magnetic moment is 0.146 μB/atom.

Lattice parameters (Å, degrees): 4.126 6.334 9.046 90.00 90.00 109.01
Site moments in Bohr magnetons follow the coordinates.
Sites, in units of the cell vectors:
Ho 0.646 0.291 0.057  0.13
Ho 0.646 0.291 0.443  0.13
Ho 0.354 0.709 0.943  0.13
Ho 0.354 0.709 0.557  0.13
Si 0.249 0.497 0.250  0.00
Si 0.751 0.503 0.750  0.00
Pm 0.934 0.868 0.250  0.10
Pm 0.066 0.132 0.750  0.10

---

No. 10
This record from the Alexandria database describes an optimized crystal structure of Tm6CdIn2. The functional is PBE.

Results
Its theoretical density is 7.978 g/cm³. The total magnetic moment is 0.000 μB/atom. As for the energy relative to the elements: -14 meV per atom.

Lattice parameters (Å, degrees): 5.106 7.218 8.842 114.09 106.79 90.00
Sites, in units of the cell vectors:
Tm 0.835 0.587 0.669
Tm 0.165 0.918 0.331
Tm 0.835 0.082 0.669
Tm 0.165 0.413 0.331
Tm 0.500 0.756 0.000
Tm 0.500 0.244 0.000
In 0.334 0.334 0.667
In 0.666 0.666 0.333
Cd 0.000 0.000 0.000

---

No. 11
This record from the Alexandria database describes an optimized crystal structure of BaLa3. The functional is PBE.

Results
Its theoretical density is 5.629 g/cm³. The polymorph energy (0 for the lowest one) is 17 kJ/mol of formula units. The total magnetic moment is 0.000 μB/atom. As for the energy relative to the elements: 128 meV per atom.

Lattice parameters (Å, degrees): 6.643 6.643 6.843 80.82 80.82 33.29
Sites, in units of the cell vectors:
La 0.759 0.759 0.723
La 0.500 0.500 0.500
La 0.241 0.241 0.277
Ba 0.000 0.000 0.000

---

No. 12
This record from the Alexandria database describes an optimized crystal structure of LaSc2Cu2. The functional is PBE.

Results
Its theoretical density is 5.544 g/cm³. The polymorph energy (0 for the lowest one) is 6 kJ/mol of formula units. The total magnetic moment is 0.000 μB/atom. As for the energy relative to the elements: -95 meV per atom.

Lattice parameters (Å, degrees): 7.757 7.757 3.543 90.00 90.00 90.00
Sites, in units of the cell vectors:
Cu 0.880 0.620 0.000
Cu 0.380 0.880 0.000
Cu 0.120 0.380 0.000
Cu 0.620 0.120 0.000
La 0.500 0.500 0.000
La 0.000 0.000 0.000
Sc 0.159 0.659 0.500
Sc 0.341 0.159 0.500
Sc 0.659 0.841 0.500
Sc 0.841 0.341 0.500